# CaWCl2 | Alexandria | PBE | optimized geometry
data_CaWCl2
_chemical_formula_sum 'Ca2 W2 Cl4'
_space_group_name_H-M_alt 'C 1 m 1'
_space_group_IT_number 8
_cell_length_a 18.3666
_cell_length_b 3.1551
_cell_length_c 3.1563
_cell_angle_alpha 90.00
_cell_angle_beta 91.99
_cell_angle_gamma 90.00
loop_
_space_group_symop_operation_xyz
'x,y,z'
'x,-y,z'
'x+1/2,y+1/2,z'
'x+1/2,-y+1/2,z'
loop_
_atom_site_label
_atom_site_type_symbol
_atom_site_fract_x
_atom_site_fract_y
_atom_site_fract_z
_atom_site_occupancy
Ca1 Ca 0.0000 0.0000 0.0000 1
W1 W 0.3638 0.0000 0.4726 1
Cl1 Cl 0.0872 0.5000 0.5178 1
Cl2 Cl 0.2924 0.5000 0.9580 1
# total energy	-5.017	eV/atom
# energy relative to the elements, uncorrected	-355	meV/atom
# crystal system	monoclinic
# ρ	5.4	g/cm³
# energy above the most stable polymorph in this dataset	92	meV/atom